Record 1
The following is a GGA-PBE calculation of a relaxed structure of Cs2YNbF6, from Alexandria via LeMat-Bulk.

Geometry as CIF:
```
data_Cs2YNbF6
_chemical_formula_sum 'Cs2 Y1 Nb1 F6'
_symmetry_space_group_name_H-M 'P 1'
_symmetry_Int_Tables_number 1
_symmetry_space_group_name_Hall 'P 1'
_cell_length_a 6.496
_cell_length_b 6.496
_cell_length_c 6.496
_cell_angle_alpha 60.00
_cell_angle_beta 60.00
_cell_angle_gamma 60.00
loop_
_atom_site_label
_atom_site_fract_x
_atom_site_fract_y
_atom_site_fract_z
Cs1 0.250 0.250 0.250
Cs2 0.750 0.750 0.750
Y1 0.000 0.000 0.000
Nb1 0.500 0.500 0.500
F1 0.245 0.245 0.755
F2 0.245 0.755 0.245
F3 0.245 0.755 0.755
F4 0.755 0.245 0.245
F5 0.755 0.245 0.755
F6 0.755 0.755 0.245
```

crystal system: cubic
space group: Fm-3m (225)
electronic total energy: -5.601 eV per atom
ΔE_f (raw): -26.54 eV/f.u.

=====

Record 2
The following is a GGA-PBE calculation of a relaxed structure of Sr5NpN6, from Alexandria via LeMat-Bulk.

Geometry as CIF:
```
data_Sr5NpN6
_chemical_formula_sum 'Sr5 Np1 N6'
_symmetry_space_group_name_H-M 'P 1'
_symmetry_Int_Tables_number 1
_symmetry_space_group_name_Hall 'P 1'
_cell_length_a 6.415
_cell_length_b 6.415
_cell_length_c 6.358
_cell_angle_alpha 99.84
_cell_angle_beta 99.84
_cell_angle_gamma 119.99
loop_
_atom_site_label
_atom_site_fract_x
_atom_site_fract_y
_atom_site_fract_z
Sr1 0.000 0.000 0.000
Sr2 0.167 0.833 0.500
Sr3 0.337 0.663 0.000
Sr4 0.663 0.337 0.000
Sr5 0.833 0.167 0.500
Np1 0.500 0.500 0.500
N1 0.151 0.427 0.282
N2 0.298 0.298 0.707
N3 0.427 0.151 0.282
N4 0.573 0.849 0.718
N5 0.702 0.702 0.293
N6 0.849 0.573 0.718
```

crystal system: monoclinic
space group: C2/m (12)
electronic total energy: -6.738 eV per atom
ΔE_f (raw): -9.55 eV/f.u.

=====

Record 3
The following is a GGA-PBE calculation of a relaxed structure of Pu3Cd4Hg4, from Alexandria via LeMat-Bulk.

Geometry as CIF:
```
data_Pu3Cd4Hg4
_chemical_formula_sum 'Pu3 Cd4 Hg4'
_symmetry_space_group_name_H-M 'P 1'
_symmetry_Int_Tables_number 1
_symmetry_space_group_name_Hall 'P 1'
_cell_length_a 9.625
_cell_length_b 6.314
_cell_length_c 6.314
_cell_angle_alpha 46.70
_cell_angle_beta 90.00
_cell_angle_gamma 90.00
loop_
_atom_site_label
_atom_site_fract_x
_atom_site_fract_y
_atom_site_fract_z
Pu1 0.000 0.000 0.000
Pu2 0.280 0.151 0.151
Pu3 0.720 0.151 0.151
Cd1 0.000 0.305 0.305
Cd2 0.293 0.849 0.849
Cd3 0.500 0.375 0.375
Cd4 0.707 0.849 0.849
Hg1 0.000 0.682 0.682
Hg2 0.223 0.481 0.481
Hg3 0.500 0.653 0.653
Hg4 0.777 0.481 0.481
```

crystal system: orthorhombic
space group: Amm2 (38)
electronic total energy: -4.382 eV per atom
formation enthalpy at 0 K: -3.00 kJ per mole of atoms